Below is a relaxed structure of TlIn4Bi5, with properties calculated at the PBE-GGA level.

Results
* DFT formation energy: 30 meV/atom

a = 3.3831 Å, b = 3.3831 Å, c = 26.7575 Å
α = 90.00°, β = 90.00°, γ = 90.00°
Last column: nearest neighbours and their distance in Å.
Atoms (fractional coordinates):
Tl 0.0000 0.0000 0.0000  4 Tl 3.38, 8 Bi 3.70
In 0.0000 0.0000 0.2030  4 In 3.38, 8 Bi 3.54-3.58
In 0.0000 0.0000 0.4012  4 In 3.38, 8 Bi 3.56-3.57
In 0.0000 0.0000 0.5988  4 In 3.38, 8 Bi 3.56-3.57
In 0.0000 0.0000 0.7970  4 In 3.38, 8 Bi 3.54-3.58
Bi 0.5000 0.5000 0.1056  4 Bi 3.38, 4 In 3.54, 4 Tl 3.70
Bi 0.5000 0.5000 0.3024  4 Bi 3.38, 8 In 3.56-3.58
Bi 0.5000 0.5000 0.5000  4 Bi 3.38, 8 In 3.57
Bi 0.5000 0.5000 0.6976  4 Bi 3.38, 8 In 3.56-3.58
Bi 0.5000 0.5000 0.8944  4 Bi 3.38, 4 In 3.54, 4 Tl 3.70


Below is a relaxed structure of Rb3Sm2USe6, with properties calculated at the PBE-GGA level.

Results
* formation energy from raw total energies: -1.547 eV/atom

a = 7.4793 Å, b = 7.4793 Å, c = 8.4072 Å
α = 98.53°, β = 98.53°, γ = 120.00°
Last column: nearest neighbours and their distance in Å.
Atoms (fractional coordinates):
Rb 0.0000 0.0000 0.0000  6 Se 3.47-3.48
Rb 0.3321 0.6679 0.0000  6 Se 3.47
Rb 0.6679 0.3321 0.0000  6 Se 3.47
Sm 0.1665 0.8335 0.5000  6 Se 2.97
Sm 0.8335 0.1665 0.5000  6 Se 2.97
U 0.5000 0.5000 0.5000  6 Se 2.95
Se 0.1025 0.4337 0.3009  1 U 2.95, 2 Sm 2.97
Se 0.2355 0.2355 0.6996  1 U 2.95, 2 Sm 2.97
Se 0.4337 0.1025 0.3009  1 U 2.95, 2 Sm 2.97
Se 0.5663 0.8975 0.6991  1 U 2.95, 2 Sm 2.97
Se 0.7645 0.7645 0.3004  1 U 2.95, 2 Sm 2.97
Se 0.8975 0.5663 0.6991  1 U 2.95, 2 Sm 2.97


Below is a relaxed structure of HfVIN2, with properties calculated at the PBE-GGA level.

Results
* formation energy from raw total energies: 0.698 eV/atom
* polymorph energy (0 for the lowest one): 0.167 eV per atom

a = 3.9414 Å, b = 3.9414 Å, c = 5.1448 Å
α = 90.00°, β = 90.00°, γ = 90.00°
Last column: nearest neighbours and their distance in Å.
Atoms (fractional coordinates):
Hf 0.0000 0.0000 0.0000  4 I 2.79
V 0.5000 0.5000 0.5000  4 N 1.97
I 0.5000 0.5000 0.0000  2 V 2.57, 4 Hf 2.79
N 0.0000 0.5000 0.5000  2 V 1.97
N 0.5000 0.0000 0.5000  2 V 1.97


Below is a relaxed structure of CrAg2W, with properties calculated at the PBE-GGA level.

Results
* DFT formation energy: 710 meV/atom
* polymorph energy (0 for the lowest one): 0.326 eV per atom

a = 3.7615 Å, b = 3.7615 Å, c = 4.4810 Å
α = 90.00°, β = 90.00°, γ = 90.00°
Last column: nearest neighbours and their distance in Å.
Atoms (fractional coordinates):
Cr 0.0000 0.0000 0.0000  4 W 2.66, 8 Ag 2.93
Ag 0.0000 0.5000 0.5000  4 Ag 2.66, 4 W 2.93, 4 Cr 2.93
Ag 0.5000 0.0000 0.5000  4 Ag 2.66, 4 W 2.93, 4 Cr 2.93
W 0.5000 0.5000 0.0000  4 Cr 2.66, 8 Ag 2.93


Below is a relaxed structure of SrIn2Os, with properties calculated at the PBE-GGA level.

Results
* DFT formation energy: 138 meV/atom

a = 3.3816 Å, b = 3.3960 Å, c = 8.0862 Å
α = 90.00°, β = 90.00°, γ = 90.00°
Last column: nearest neighbours and their distance in Å.
Atoms (fractional coordinates):
Sr 0.0000 0.0000 0.0000  4 Sr 3.38-3.40, 8 In 3.46
In 0.5000 0.5000 0.3089  4 Os 2.85, 1 In 3.09
In 0.5000 0.5000 0.6911  4 Os 2.85, 1 In 3.09
Os 0.0000 0.0000 0.5000  8 In 2.85


Below is a relaxed structure of HoMg2Pb5, with properties calculated at the PBE-GGA level.

Results
* DFT formation energy: -104 meV/atom
* polymorph energy (0 for the lowest one): 0.006 eV per atom

a = 8.6830 Å, b = 8.6830 Å, c = 8.6830 Å
α = 121.97°, β = 121.97°, γ = 86.62°
Last column: nearest neighbours and their distance in Å.
Atoms (fractional coordinates):
Ho 0.2500 0.2500 0.0000  10 Pb 3.16-3.40
Ho 0.7500 0.7500 0.0000  10 Pb 3.16-3.40
Mg 0.1393 0.6393 0.7786  8 Pb 3.17-3.26, 1 Mg 3.32
Mg 0.3607 0.1393 0.5000  8 Pb 3.17-3.26, 1 Mg 3.32
Mg 0.6393 0.8607 0.5000  8 Pb 3.17-3.26, 1 Mg 3.32
Mg 0.8607 0.3607 0.2214  8 Pb 3.17-3.26, 1 Mg 3.32
Pb 0.0000 0.0000 0.0000  2 Ho 3.16, 4 Mg 3.26
Pb 0.0103 0.8107 0.5000  3 Mg 3.17-3.23, 3 Pb 3.28-3.39, 2 Ho 3.40
Pb 0.1893 0.6893 0.1996  3 Mg 3.17-3.23, 3 Pb 3.28-3.39, 2 Ho 3.40
Pb 0.3107 0.5103 0.5000  3 Mg 3.17-3.23, 3 Pb 3.28-3.39, 2 Ho 3.40
Pb 0.4897 0.9897 0.8004  3 Mg 3.17-3.23, 3 Pb 3.28-3.39, 2 Ho 3.40
Pb 0.5000 0.5000 0.0000  2 Ho 3.16, 4 Mg 3.26
Pb 0.5103 0.0103 0.1996  3 Mg 3.17-3.23, 3 Pb 3.28-3.39, 2 Ho 3.40
Pb 0.6893 0.4897 0.5000  3 Mg 3.17-3.23, 3 Pb 3.28-3.39, 2 Ho 3.40
Pb 0.8107 0.3107 0.8004  3 Mg 3.17-3.23, 3 Pb 3.28-3.39, 2 Ho 3.40
Pb 0.9897 0.1893 0.5000  3 Mg 3.17-3.23, 3 Pb 3.28-3.39, 2 Ho 3.40


Below is a relaxed structure of ZnRuSe2, with properties calculated at the PBE-GGA level.

Results
* formation energy from raw total energies: 0.280 eV/atom

a = 4.6107 Å, b = 4.6107 Å, c = 4.5756 Å
α = 112.70°, β = 112.70°, γ = 103.27°
Last column: nearest neighbours and their distance in Å.
Atoms (fractional coordinates):
Zn 0.0000 0.0000 0.0000  4 Se 2.55
Ru 0.5000 0.5000 0.0000  4 Se 2.55
Se 0.0000 0.5000 0.5000  2 Ru 2.55, 2 Zn 2.55
Se 0.5000 0.0000 0.5000  2 Ru 2.55, 2 Zn 2.55


Below is a relaxed structure of Ho2Ni4As3Rh, with properties calculated at the PBE-GGA level.

Results
* DFT formation energy: -707 meV/atom

a = 3.9560 Å, b = 3.9560 Å, c = 10.1402 Å
α = 90.00°, β = 90.00°, γ = 90.00°
Last column: nearest neighbours and their distance in Å.
Atoms (fractional coordinates):
Ho 0.0000 0.5000 0.2497  8 Ni 2.99-3.21, 6 As 3.05-3.22, 2 Rh 3.22
Ho 0.5000 0.0000 0.7503  8 Ni 2.99-3.21, 6 As 3.05-3.22, 2 Rh 3.22
Ni 0.0000 0.0000 0.0000  4 As 2.38
Ni 0.0000 0.5000 0.6458  3 As 2.27-2.47, 2 Rh 2.47
Ni 0.5000 0.0000 0.3542  3 As 2.27-2.47, 2 Rh 2.47
Ni 0.5000 0.5000 0.0000  4 As 2.38
As 0.0000 0.5000 0.8699  5 Ni 2.27-2.38
As 0.5000 0.0000 0.1301  5 Ni 2.27-2.38
As 0.5000 0.5000 0.5000  4 Ni 2.47
Rh 0.0000 0.0000 0.5000  4 Ni 2.47